Entry 1:
Computed, not measured: BaTa after structural relaxation at the GGA-PBE level of DFT.

Summary:
Magnetization in μB per formula unit: 0.00
Calculated formation energy in meV/atom: 1146

The structure in CIF format:
```
data_BaTa
_chemical_formula_sum 'Ba16 Ta16'
_cell_length_a 6.5189
_cell_length_b 10.2705
_cell_length_c 16.1481
_cell_angle_alpha 90.00
_cell_angle_beta 90.00
_cell_angle_gamma 90.00
_symmetry_space_group_name_H-M 'F d d d'
_symmetry_Int_Tables_number 70
loop_
_symmetry_equiv_pos_as_xyz
'x,y,z'
'-x,-y,-z'
'-x+1/4,-y+1/4,z'
'x+1/4,y+1/4,-z'
'x,-y+1/4,-z+1/4'
'-x,y+1/4,z+1/4'
'-x+1/4,y,-z+1/4'
'x+1/4,-y,z+1/4'
'x,y+1/2,z+1/2'
'-x,-y+1/2,-z+1/2'
'-x+1/4,-y+3/4,z+1/2'
'x+1/4,y+3/4,-z+1/2'
'x,-y+3/4,-z+3/4'
'-x,y+3/4,z+3/4'
'-x+1/4,y+1/2,-z+3/4'
'x+1/4,-y+1/2,z+3/4'
'x+1/2,y,z+1/2'
'-x+1/2,-y,-z+1/2'
'-x+3/4,-y+1/4,z+1/2'
'x+3/4,y+1/4,-z+1/2'
'x+1/2,-y+1/4,-z+3/4'
'-x+1/2,y+1/4,z+3/4'
'-x+3/4,y,-z+3/4'
'x+3/4,-y,z+3/4'
'x+1/2,y+1/2,z'
'-x+1/2,-y+1/2,-z'
'-x+3/4,-y+3/4,z'
'x+3/4,y+3/4,-z'
'x+1/2,-y+3/4,-z+1/4'
'-x+1/2,y+3/4,z+1/4'
'-x+3/4,y+1/2,-z+1/4'
'x+3/4,-y+1/2,z+1/4'
loop_
_atom_site_label
_atom_site_fract_x
_atom_site_fract_y
_atom_site_fract_z
_atom_site_occupancy
Ba1 0.1250 0.2938 0.1250 1
Ta1 0.1250 0.1250 0.5522 1
```



Entry 2:
Computed, not measured: PmLu2Tl after structural relaxation at the GGA-PBE level of DFT.

Summary:
Magnetization in μB per formula unit: 0.00
Calculated formation energy in meV/atom: -102

The structure in CIF format:
```
data_PmLu2Tl
_chemical_formula_sum 'Pm3 Lu6 Tl3'
_cell_length_a 3.5272
_cell_length_b 3.5272
_cell_length_c 32.8336
_cell_angle_alpha 90.00
_cell_angle_beta 90.00
_cell_angle_gamma 120.00
_symmetry_space_group_name_H-M 'R -3 m'
_symmetry_Int_Tables_number 166
_symmetry_space_group_name_Hall '-R 3 2"'
loop_
_atom_site_label
_atom_site_fract_x
_atom_site_fract_y
_atom_site_fract_z
_atom_site_occupancy
Pm1 0.0000 0.0000 0.0000 1
Lu1 0.0000 0.0000 0.2455 1
Tl1 0.0000 0.0000 0.5000 1
```



Entry 3:
Computed, not measured: Cu2SbTe3 after structural relaxation at the GGA-PBE level of DFT.

Summary:
Magnetization in μB per formula unit: 0.00
Energy relative to the elements, uncorrected in eV/f.u.: -0.12

The structure in CIF format:
```
data_Cu2SbTe3
_chemical_formula_sum 'Cu8 Sb4 Te12'
_cell_length_a 7.1128
_cell_length_b 14.5963
_cell_length_c 7.1752
_cell_angle_alpha 90.00
_cell_angle_beta 107.82
_cell_angle_gamma 90.00
_symmetry_space_group_name_H-M 'C 1 c 1'
_symmetry_Int_Tables_number 9
loop_
_symmetry_equiv_pos_as_xyz
'x,y,z'
'x,-y,z+1/2'
'x+1/2,y+1/2,z'
'x+1/2,-y+1/2,z+1/2'
loop_
_atom_site_label
_atom_site_fract_x
_atom_site_fract_y
_atom_site_fract_z
_atom_site_occupancy
Cu1 0.0000 0.0765 0.0000 1
Cu2 0.0076 0.2320 0.5042 1
Sb1 0.4815 0.0952 0.5263 1
Te1 0.3753 0.1174 0.1111 1
Te2 0.3776 0.2766 0.6307 1
Te3 0.4068 0.4214 0.1242 1
```



no.,density (g/cm³)
1,7.8
2,9.8
3,5.9